Entry 1:
The following is a DFT calculation (PBE) of a relaxed structure of FeRe2Cl.

Results
* space-group type: I-42d, No. 122
* formation energy from raw total energies: 1398.8 meV per atom

Lattice parameters (Å, degrees): 5.343 5.343 6.418 65.40 65.40 90.00
Atoms (fractional coordinates):
Re (0.644, 0.125, 0.250)
Re (0.106, 0.625, 0.250)
Re (0.375, 0.356, 0.750)
Re (0.875, 0.894, 0.750)
Fe (0.000, 0.000, 0.000)
Fe (0.750, 0.250, 0.500)
Cl (0.500, 0.500, 0.000)
Cl (0.250, 0.750, 0.500)



Entry 2:
The following is a DFT calculation (PBE) of a relaxed structure of NaLiBiPt.

Results
* space-group type: F-43m, No. 216
* DFT formation energy: -369.9 meV per atom

Lattice parameters (Å, degrees): 4.803 4.803 4.803 60.00 60.00 60.00
Atoms (fractional coordinates):
Na (0.000, 0.000, 0.000)
Bi (0.750, 0.750, 0.750)
Pt (0.500, 0.500, 0.500)
Li (0.250, 0.250, 0.250)



Number 1: size of the total moment 0.00 μB per cell. Number 2: size of the total moment 0.00 μB per cell.